{
  "formula": "Li2CaAu",
  "functional": "GGA-PBEsol",
  "state": "optimized geometry",
  "delta_e_f_ev_per_fu": -1.403,
  "polymorph_energy_mev_per_atom": 31,
  "lattice": [[4.1993, 0.0000, 0.0000], [0.0000, 4.1993, 0.0000], [0.0000, 0.0000, 8.9090]],
  "species": ["Li", "Li", "Li", "Li", "Ca", "Ca", "Au", "Au"],
  "frac_coords": [[0.0000, 0.5000, 0.2500], [0.0000, 0.5000, 0.7500], [0.5000, 0.0000, 0.2500], [0.5000, 0.0000, 0.7500], [0.0000, 0.0000, 0.0000], [0.5000, 0.5000, 0.5000], [0.0000, 0.0000, 0.5000], [0.5000, 0.5000, 0.0000]]
}


{
  "formula": "LiCa2Au2",
  "functional": "GGA-PBEsol",
  "state": "optimized geometry",
  "delta_e_f_ev_per_fu": -3.089,
  "lattice": [[7.6575, 0.0000, 0.0000], [0.0000, 7.6575, 0.0000], [0.0000, 0.0000, 4.0482]],
  "species": ["Li", "Li", "Ca", "Ca", "Ca", "Ca", "Au", "Au", "Au", "Au"],
  "frac_coords": [[0.0000, 0.0000, 0.0000], [0.5000, 0.5000, 0.0000], [0.1678, 0.3322, 0.5000], [0.3322, 0.8322, 0.5000], [0.6678, 0.1678, 0.5000], [0.8322, 0.6678, 0.5000], [0.1321, 0.6321, 0.0000], [0.3679, 0.1321, 0.0000], [0.6321, 0.8679, 0.0000], [0.8679, 0.3679, 0.0000]]
}


{
  "formula": "Li2CaAu",
  "functional": "GGA-PBEsol",
  "state": "optimized geometry",
  "delta_e_f_ev_per_fu": -1.268,
  "polymorph_energy_mev_per_atom": 65,
  "lattice": [[4.4376, 0.0000, 0.0000], [-2.2188, 3.8430, 0.0000], [0.0000, 0.0000, 14.1652]],
  "species": ["Li", "Li", "Li", "Li", "Li", "Li", "Ca", "Ca", "Ca", "Au", "Au", "Au"],
  "frac_coords": [[0.0000, 0.0000, 0.2149], [0.0000, 0.0000, 0.7851], [0.3333, 0.6667, 0.4518], [0.3333, 0.6667, 0.8816], [0.6667, 0.3333, 0.1184], [0.6667, 0.3333, 0.5482], [0.0000, 0.0000, 0.0000], [0.3333, 0.6667, 0.6667], [0.6667, 0.3333, 0.3333], [0.0000, 0.0000, 0.5000], [0.3333, 0.6667, 0.1667], [0.6667, 0.3333, 0.8333]]
}


{
  "formula": "Li3CaAu",
  "functional": "GGA-PBEsol",
  "state": "optimized geometry",
  "delta_e_f_ev_per_fu": -0.793,
  "lattice": [[4.8864, 0.0000, 0.0000], [0.0000, 4.8864, 0.0000], [0.0000, 0.0000, 4.8864]],
  "species": ["Li", "Li", "Li", "Ca", "Au"],
  "frac_coords": [[0.0000, 0.0000, 0.5000], [0.0000, 0.5000, 0.0000], [0.5000, 0.0000, 0.0000], [0.5000, 0.5000, 0.5000], [0.0000, 0.0000, 0.0000]]
}


{
  "formula": "LiCa2PdAu",
  "functional": "GGA-PBEsol",
  "state": "optimized geometry",
  "delta_e_f_ev_per_fu": 0.433,
  "lattice": [[5.2994, 0.0000, 0.0000], [0.0000, 5.2994, 0.0000], [0.0000, 0.0000, 4.2296]],
  "species": ["Li", "Ca", "Ca", "Pd", "Au"],
  "frac_coords": [[0.0000, 0.0000, 0.0000], [0.0000, 0.5000, 0.0000], [0.5000, 0.0000, 0.0000], [0.5000, 0.5000, 0.5000], [0.0000, 0.0000, 0.5000]]
}


{
  "formula": "Rb2LiCaAu",
  "functional": "GGA-PBEsol",
  "state": "optimized geometry",
  "delta_e_f_ev_per_fu": 1.873,
  "lattice": [[7.4631, 0.0000, 0.0000], [0.0000, 7.4631, 0.0000], [0.0000, 0.0000, 5.3775]],
  "species": ["Rb", "Rb", "Li", "Ca", "Au"],
  "frac_coords": [[0.0000, 0.5000, 0.0000], [0.5000, 0.0000, 0.0000], [0.0000, 0.0000, 0.5000], [0.5000, 0.5000, 0.0000], [0.5000, 0.5000, 0.5000]]
}


{
  "formula": "Ca4MgAu",
  "functional": "GGA-PBEsol",
  "state": "optimized geometry",
  "delta_e_f_ev_per_fu": 2.136,
  "lattice": [[0.0000, 4.5826, 4.5826], [4.5826, 0.0000, 4.5826], [4.5826, 4.5826, 0.0000]],
  "species": ["Ca", "Ca", "Ca", "Ca", "Mg", "Au"],
  "frac_coords": [[0.1254, 0.1254, 0.1254], [0.1254, 0.1254, 0.6238], [0.1254, 0.6238, 0.1254], [0.6238, 0.1254, 0.1254], [0.7500, 0.7500, 0.7500], [0.5000, 0.5000, 0.5000]]
}


{
  "formula": "CaMg3Au",
  "functional": "GGA-PBEsol",
  "state": "optimized geometry",
  "delta_e_f_ev_per_fu": 5.742,
  "lattice": [[5.9423, 0.0000, 0.0000], [0.0000, 5.9423, 0.0000], [0.0000, 0.0000, 5.9423]],
  "species": ["Ca", "Mg", "Mg", "Mg", "Au"],
  "frac_coords": [[0.0000, 0.0000, 0.0000], [0.0000, 0.0000, 0.5000], [0.0000, 0.5000, 0.0000], [0.5000, 0.0000, 0.0000], [0.5000, 0.5000, 0.5000]]
}